Entry 1:
DFT (GGA-PBE) results for crystalline Sr3CaRh at its relaxed geometry.

Properties
energy relative to the elements = -0.196 eV per atom
excess energy over the best structure of this formula in the dataset = 4.2 meV/atom
mass density = 3.22 Mg/m³

Cell: 7.3049 7.3049 12.1852 Å, 113.88 113.88 45.69°
Fractional coordinates of all 10 atoms:
Sr1 0.1160 0.1160 0.4438
Sr2 0.1260 0.1260 0.9307
Sr3 0.3699 0.3699 0.8064
Sr4 0.6301 0.6301 0.1936
Sr5 0.8740 0.8740 0.0693
Sr6 0.8840 0.8840 0.5562
Ca1 0.3713 0.3713 0.3100
Ca2 0.6287 0.6287 0.6900
Rh1 0.1310 0.1310 0.6966
Rh2 0.8690 0.8690 0.3034



Entry 2:
DFT (GGA-PBE) results for crystalline MoS2 at its relaxed geometry.

Properties
mass density = 4.39 Mg/m³
formation energy from raw total energies = -2.60 eV/f.u.

Cell: 3.1897 3.1897 6.8656 Å, 90.00 90.00 120.00°
Fractional coordinates of all 3 atoms:
Mo1 0.0000 0.0000 0.0000
S1 0.3333 0.6667 0.2276
S2 0.3333 0.6667 0.7724



Entry 3:
DFT (GGA-PBE) results for crystalline BaAgSn at its relaxed geometry.

Properties
energy relative to the elements = -0.481 eV per atom
mass density = 6.40 Mg/m³

Cell: 5.1048 5.1048 4.1870 Å, 90.00 90.00 120.00°
Fractional coordinates of all 3 atoms:
Ba1 0.0000 0.0000 0.0000
Ag1 0.3333 0.6667 0.5000
Sn1 0.6667 0.3333 0.5000



Question: mass density of number 3 (BaAgSn)?
Answer: 6.40 Mg/m³